## KLi2NiN (meta-GGA SCAN)

Data for a PBEsol-optimized structure of KLi2NiN.

Calculated values
Magnetic moment = 0.21 Bohr magnetons per cell
ΔE_f (raw) = 154 meV/atom
Raw total energy = -37.80 eV/f.u.
Space group = P4/mmm

Cell lengths 3.5229, 4.8061, 4.8061 Å; angles 90.00, 90.00, 90.00 degrees
With the nearest neighbours (Å) after each atom.
Atoms (fractional coordinates):
Ni (0.0000, 0.0000, 0.0000)  2 N 1.76
K (0.5000, 0.5000, 0.5000)  8 Li 2.98
Li (0.0000, 0.0000, 0.5000)  2 Ni 2.40
Li (0.0000, 0.5000, 0.0000)  2 Ni 2.40
N (0.5000, 0.0000, 0.0000)  2 Ni 1.76